Entry 1:
The following is a GGA-PBEsol calculation of an optimized crystal structure of MgMo2Pb, from the Alexandria database.

Calculated values
DOS at the Fermi energy = 4.4 states/eV/cell
E = -6.485 eV/atom
excess energy over the best structure of this formula in the dataset = 0.262 eV per atom

Cell and atoms, written as POSCAR:
```
MgMo2Pb
1.0
2.837 0.000 0.000
0.000 2.837 0.000
0.000 0.000 9.153
Mg Mo Pb
1 2 1
Direct
0.000 0.000 0.000
0.500 0.500 0.241
0.500 0.500 0.759
0.000 0.000 0.500
```

Entry 2:
The following is a GGA-PBEsol calculation of an optimized crystal structure of KScAs, from the Alexandria database.

Calculated values
DOS at the Fermi energy = 1.5 states/eV/cell
E = -4.728 eV/atom

Cell and atoms, written as POSCAR:
```
KScAs
1.0
4.510 0.000 0.000
-2.255 3.906 0.000
0.000 0.000 5.423
K Sc As
1 1 1
Direct
0.000 0.000 0.000
0.333 0.667 0.500
0.667 0.333 0.500
```

Entry 3:
The following is a GGA-PBEsol calculation of an optimized crystal structure of TaAl3Ge, from the Alexandria database.

Calculated values
DOS at the Fermi energy = 4.5 states/eV/cell
E = -4.800 eV/atom

Cell and atoms, written as POSCAR:
```
TaAl3Ge
1.0
4.643 0.000 0.000
0.000 4.643 0.000
0.000 0.000 4.643
Ta Al Ge
1 3 1
Direct
0.000 0.000 0.000
0.000 0.500 0.500
0.500 0.000 0.500
0.500 0.500 0.000
0.500 0.500 0.500
```

Entry 4:
The following is a GGA-PBEsol calculation of an optimized crystal structure of Y2Zr, from the Alexandria database.

Calculated values
DOS at the Fermi energy = 10.7 states/eV/cell
E = -7.485 eV/atom
excess energy over the best structure of this formula in the dataset = 0.008 eV per atom

Cell and atoms, written as POSCAR:
```
Y2Zr
1.0
6.248 -1.698 0.000
6.248 1.698 0.000
-1.882 0.000 7.770
Y Zr
4 2
Direct
0.030 0.030 0.316
0.357 0.357 0.970
0.643 0.643 0.030
0.970 0.970 0.684
0.300 0.300 0.371
0.700 0.700 0.629
```

Entry 5:
The following is a GGA-PBEsol calculation of an optimized crystal structure of CdHgTe2, from the Alexandria database.

Calculated values
DOS at the Fermi energy = 0.5 states/eV/cell
E = -2.462 eV/atom
ΔE_f (raw) = -258 meV/atom
excess energy over the best structure of this formula in the dataset = 0.001 eV per atom

Cell and atoms, written as POSCAR:
```
CdHgTe2
1.0
-3.247 3.247 6.495
3.247 -3.247 6.495
3.247 3.247 -6.495
Cd Hg Te
2 2 4
Direct
0.000 0.000 0.000
0.750 0.250 0.500
0.250 0.750 0.500
0.500 0.500 0.000
0.124 0.625 0.999
0.375 0.374 0.499
0.626 0.125 0.001
0.875 0.876 0.501
```

Entry 6:
The following is a GGA-PBEsol calculation of an optimized crystal structure of NaLiCaAu2, from the Alexandria database.

Calculated values
DOS at the Fermi energy = 2.3 states/eV/cell
E = -2.259 eV/atom

Cell and atoms, written as POSCAR:
```
NaLiCaAu2
1.0
5.072 0.000 0.000
0.000 5.072 0.000
0.000 0.000 5.190
Na Li Ca Au
1 1 1 2
Direct
0.000 0.000 0.000
0.500 0.500 0.500
0.000 0.000 0.500
0.000 0.500 0.000
0.500 0.000 0.000
```

Entry 7:
The following is a GGA-PBEsol calculation of an optimized crystal structure of Li2ReOs, from the Alexandria database.

Calculated values
DOS at the Fermi energy = 1.9 states/eV/cell
E = -7.205 eV/atom
excess energy over the best structure of this formula in the dataset = 0.000 eV per atom

Cell and atoms, written as POSCAR:
```
Li2ReOs
1.0
1.364 0.788 9.328
-1.364 0.788 9.328
0.000 -1.575 9.328
Li Re Os
2 1 1
Direct
0.000 0.000 0.000
0.241 0.241 0.241
0.489 0.489 0.489
0.749 0.749 0.749
```

Entry 8:
The following is a GGA-PBEsol calculation of an optimized crystal structure of Tb2B6Os, from the Alexandria database.

Calculated values
DOS at the Fermi energy = 3.3 states/eV/cell
E = -7.851 eV/atom

Cell and atoms, written as POSCAR:
```
Tb2B6Os
1.0
9.132 0.000 0.000
0.000 11.492 0.000
0.000 0.000 3.634
Tb B Os
8 24 4
Direct
0.056 0.127 0.000
0.177 0.414 0.000
0.323 0.914 0.000
0.444 0.627 0.000
0.556 0.373 0.000
0.677 0.086 0.000
0.823 0.586 0.000
0.944 0.873 0.000
0.016 0.287 0.500
0.054 0.567 0.500
0.109 0.970 0.500
0.132 0.814 0.500
0.210 0.233 0.500
0.247 0.580 0.500
0.253 0.080 0.500
0.290 0.733 0.500
0.368 0.314 0.500
0.391 0.470 0.500
0.446 0.067 0.500
0.484 0.787 0.500
0.516 0.213 0.500
0.554 0.933 0.500
0.609 0.530 0.500
0.632 0.686 0.500
0.710 0.267 0.500
0.747 0.920 0.500
0.753 0.420 0.500
0.790 0.767 0.500
0.868 0.186 0.500
0.891 0.030 0.500
0.946 0.433 0.500
0.984 0.713 0.500
0.137 0.678 0.000
0.363 0.178 0.000
0.637 0.822 0.000
0.863 0.322 0.000
```

Entry 9:
The following is a GGA-PBEsol calculation of an optimized crystal structure of GaH12C4NCl3, from the Alexandria database.

Calculated values
DOS at the Fermi energy = 0.0 states/eV/cell
E = -4.950 eV/atom

Cell and atoms, written as POSCAR:
```
GaH12C4NCl3
1.0
13.218 0.000 0.000
0.000 13.218 0.000
0.000 0.000 13.218
Ga H C N Cl
8 96 32 8 24
Direct
0.052 0.052 0.052
0.052 0.448 0.552
0.448 0.552 0.052
0.448 0.948 0.552
0.552 0.052 0.448
0.552 0.448 0.948
0.948 0.552 0.448
0.948 0.948 0.948
0.065 0.641 0.785
0.065 0.859 0.285
0.072 0.733 0.233
0.072 0.767 0.733
0.124 0.660 0.665
0.124 0.840 0.165
0.141 0.715 0.935
0.141 0.785 0.435
0.154 0.209 0.265
0.154 0.291 0.765
0.160 0.665 0.376
0.160 0.835 0.876
0.165 0.124 0.840
0.165 0.376 0.340
0.209 0.235 0.654
0.209 0.265 0.154
0.215 0.565 0.859
0.215 0.935 0.359
0.233 0.072 0.733
0.233 0.233 0.428
0.233 0.267 0.928
0.233 0.428 0.233
0.235 0.654 0.209
0.235 0.846 0.709
0.265 0.154 0.209
0.265 0.346 0.709
0.267 0.572 0.733
0.267 0.733 0.428
0.267 0.767 0.928
0.267 0.928 0.233
0.285 0.065 0.859
0.285 0.435 0.359
0.291 0.735 0.654
0.291 0.765 0.154
0.335 0.624 0.840
0.335 0.876 0.340
0.340 0.165 0.376
0.340 0.335 0.876
0.346 0.709 0.265
0.346 0.791 0.765
0.359 0.215 0.935
0.359 0.285 0.435
0.376 0.160 0.665
0.376 0.340 0.165
0.428 0.233 0.233
0.428 0.267 0.733
0.435 0.141 0.785
0.435 0.359 0.285
0.565 0.641 0.715
0.565 0.859 0.215
0.572 0.733 0.267
0.572 0.767 0.767
0.624 0.660 0.835
0.624 0.840 0.335
0.641 0.715 0.565
0.641 0.785 0.065
0.654 0.209 0.235
0.654 0.291 0.735
0.660 0.665 0.124
0.660 0.835 0.624
0.665 0.124 0.660
0.665 0.376 0.160
0.709 0.235 0.846
0.709 0.265 0.346
0.715 0.565 0.641
0.715 0.935 0.141
0.733 0.072 0.767
0.733 0.233 0.072
0.733 0.267 0.572
0.733 0.428 0.267
0.735 0.654 0.291
0.735 0.846 0.791
0.765 0.154 0.291
0.765 0.346 0.791
0.767 0.572 0.767
0.767 0.733 0.072
0.767 0.767 0.572
0.767 0.928 0.267
0.785 0.065 0.641
0.785 0.435 0.141
0.791 0.735 0.846
0.791 0.765 0.346
0.835 0.624 0.660
0.835 0.876 0.160
0.840 0.165 0.124
0.840 0.335 0.624
0.846 0.709 0.235
0.846 0.791 0.735
0.859 0.215 0.565
0.859 0.285 0.065
0.876 0.160 0.835
0.876 0.340 0.335
0.928 0.233 0.267
0.928 0.267 0.767
0.935 0.141 0.715
0.935 0.359 0.215
0.110 0.694 0.740
0.110 0.806 0.240
0.194 0.740 0.390
0.194 0.760 0.890
0.225 0.225 0.225
0.225 0.275 0.725
0.240 0.110 0.806
0.240 0.390 0.306
0.260 0.610 0.806
0.260 0.890 0.306
0.275 0.725 0.225
0.275 0.775 0.725
0.306 0.240 0.390
0.306 0.260 0.890
0.390 0.194 0.740
0.390 0.306 0.240
0.610 0.694 0.760
0.610 0.806 0.260
0.694 0.740 0.110
0.694 0.760 0.610
0.725 0.225 0.275
0.725 0.275 0.775
0.740 0.110 0.694
0.740 0.390 0.194
0.760 0.610 0.694
0.760 0.890 0.194
0.775 0.725 0.275
0.775 0.775 0.775
0.806 0.240 0.110
0.806 0.260 0.610
0.890 0.194 0.760
0.890 0.306 0.260
0.210 0.710 0.790
0.210 0.790 0.290
0.290 0.210 0.790
0.290 0.290 0.290
0.710 0.710 0.710
0.710 0.790 0.210
0.790 0.210 0.710
0.790 0.290 0.210
0.003 0.057 0.215
0.003 0.443 0.715
0.057 0.215 0.003
0.057 0.285 0.503
0.215 0.003 0.057
0.215 0.497 0.557
0.285 0.503 0.057
0.285 0.997 0.557
0.443 0.715 0.003
0.443 0.785 0.503
0.497 0.557 0.215
0.497 0.943 0.715
0.503 0.057 0.285
0.503 0.443 0.785
0.557 0.215 0.497
0.557 0.285 0.997
0.715 0.003 0.443
0.715 0.497 0.943
0.785 0.503 0.443
0.785 0.997 0.943
0.943 0.715 0.497
0.943 0.785 0.997
0.997 0.557 0.285
0.997 0.943 0.785
```

Entry 10:
The following is a GGA-PBEsol calculation of an optimized crystal structure of Cu2IrPtO, from the Alexandria database.

Calculated values
DOS at the Fermi energy = 2.6 states/eV/cell
E = -5.454 eV/atom
ΔE_f (raw) = 687 meV/atom

Cell and atoms, written as POSCAR:
```
Cu2IrPtO
1.0
4.725 0.000 0.000
0.000 4.725 0.000
0.000 0.000 3.527
Cu Ir Pt O
2 1 1 1
Direct
0.000 0.500 0.000
0.500 0.000 0.000
0.000 0.000 0.000
0.500 0.500 0.500
0.000 0.000 0.500
```

Entry 11:
The following is a GGA-PBEsol calculation of an optimized crystal structure of Tl2Pb3, from the Alexandria database.

Calculated values
DOS at the Fermi energy = 2.4 states/eV/cell
E = -3.454 eV/atom

Cell and atoms, written as POSCAR:
```
Tl2Pb3
1.0
1.720 0.993 14.135
-1.720 0.993 14.135
0.000 -1.987 14.135
Tl Pb
2 3
Direct
0.100 0.100 0.100
0.900 0.900 0.900
0.300 0.300 0.300
0.500 0.500 0.500
0.700 0.700 0.700
```

Entry 12:
The following is a GGA-PBEsol calculation of an optimized crystal structure of MgCdPb2, from the Alexandria database.

Calculated values
DOS at the Fermi energy = 1.7 states/eV/cell
E = -2.721 eV/atom
excess energy over the best structure of this formula in the dataset = 0.035 eV per atom

Cell and atoms, written as POSCAR:
```
MgCdPb2
1.0
-1.807 2.633 5.420
1.807 -2.633 5.420
1.807 2.633 -5.420
Mg Cd Pb
1 1 2
Direct
0.000 0.000 0.000
0.776 0.276 0.500
0.253 0.753 0.500
0.524 0.524 0.000
```